10
Lattice="-1.799 -4.361 2.523 2.038 -4.793 -1.220 3.151 -2.510 3.520" Properties=species:S:1:pos:R:3 comment="NaOsO3 | Alexandria via LeMat-Bulk | SCAN | single point on PBEsol structure" dft_energy_ev_per_atom=-20.281 e_form_raw_ev_per_atom=-1.324 pbc="T T T"
O 2.231 -5.176 0.669
O -0.134 -5.265 2.118
O 2.141 -4.139 3.241
O 1.160 -6.488 4.154
O 1.250 -7.525 1.582
O 3.524 -6.399 2.705
Na 2.543 -8.748 3.617
Na 0.848 -2.916 1.206
Os 1.695 -5.832 2.412
Os 0.000 0.000 0.000